# 1
VASP calculation (GGA-PBE) on crystalline H3Pd2 at its relaxed geometry.

Cell and atoms, written as CIF:
```
data_H3Pd2
_chemical_formula_sum 'H18 Pd12'
_cell_length_a 4.8928
_cell_length_b 4.8928
_cell_length_c 11.6979
_cell_angle_alpha 90.00
_cell_angle_beta 90.00
_cell_angle_gamma 120.00
_symmetry_space_group_name_H-M 'R -3 c'
_symmetry_Int_Tables_number 167
_symmetry_space_group_name_Hall '-R 3 2"c'
loop_
_atom_site_label
_atom_site_type_symbol
_atom_site_fract_x
_atom_site_fract_y
_atom_site_fract_z
H1 H 0.0000 0.2792 0.2500
Pd1 Pd 0.0000 0.0000 0.1274
```

Properties
Crystal system: trigonal
Calculated total energy (eV per atom): -4.094
Energy above the lowest structure with this stoichiometry (kJ/mol of atoms): 0.9
Density of states at the Fermi level (states/eV/f.u.): 1.37
ρ (Mg/m³): 8.87
Magnetic moment (μB per formula unit): 0.00



# 2
VASP calculation (GGA-PBE) on crystalline HPd5 at its relaxed geometry.

Cell and atoms, written as CIF:
```
data_HPd5
_chemical_formula_sum 'H2 Pd10'
_cell_length_a 2.719
_cell_length_b 13.980
_cell_length_c 4.614
_cell_angle_alpha 90.00
_cell_angle_beta 90.00
_cell_angle_gamma 90.00
_symmetry_space_group_name_H-M 'C m m m'
_symmetry_Int_Tables_number 65
_symmetry_space_group_name_Hall '-C 2 2'
loop_
_atom_site_label
_atom_site_type_symbol
_atom_site_fract_x
_atom_site_fract_y
_atom_site_fract_z
H1 H 0.000 0.000 0.000
Pd1 Pd 0.000 0.169 0.500
Pd2 Pd 0.000 0.396 0.000
Pd3 Pd 0.000 0.500 0.500
```

Properties
Crystal system: orthorhombic
Calculated total energy (eV per atom): -4.689
Energy above the lowest structure with this stoichiometry (kJ/mol of atoms): 20.2
Density of states at the Fermi level (states/eV/f.u.): 8.04
ρ (Mg/m³): 10.09
Magnetic moment (μB per formula unit): 0.00



# 3
VASP calculation (GGA-PBE) on crystalline HPd at its relaxed geometry.

Cell and atoms, written as CIF:
```
data_HPd
_chemical_formula_sum 'H2 Pd2'
_cell_length_a 2.948
_cell_length_b 4.095
_cell_length_c 2.949
_cell_angle_alpha 90.00
_cell_angle_beta 93.25
_cell_angle_gamma 90.00
_symmetry_space_group_name_H-M 'P 1 21/m 1'
_symmetry_Int_Tables_number 11
loop_
_symmetry_equiv_pos_as_xyz
'x,y,z'
'-x,-y,-z'
'-x,y+1/2,-z'
'x,-y+1/2,z'
loop_
_atom_site_label
_atom_site_type_symbol
_atom_site_fract_x
_atom_site_fract_y
_atom_site_fract_z
H1 H 0.197 0.250 0.308
Pd1 Pd 0.246 0.750 0.254
```

Properties
Crystal system: monoclinic
Calculated total energy (eV per atom): -4.349
Energy above the lowest structure with this stoichiometry (kJ/mol of atoms): 3.3
Density of states at the Fermi level (states/eV/f.u.): 0.52
ρ (Mg/m³): 10.04
Magnetic moment (μB per formula unit): 0.00



# 4
VASP calculation (GGA-PBE) on crystalline HPd at its relaxed geometry.

Cell and atoms, written as CIF:
```
data_HPd
_chemical_formula_sum 'H16 Pd16'
_cell_length_a 5.793
_cell_length_b 6.615
_cell_length_c 7.856
_cell_angle_alpha 90.00
_cell_angle_beta 90.00
_cell_angle_gamma 90.00
_symmetry_space_group_name_H-M 'F d d d'
_symmetry_Int_Tables_number 70
loop_
_symmetry_equiv_pos_as_xyz
'x,y,z'
'-x,-y,-z'
'-x+1/4,-y+1/4,z'
'x+1/4,y+1/4,-z'
'x,-y+1/4,-z+1/4'
'-x,y+1/4,z+1/4'
'-x+1/4,y,-z+1/4'
'x+1/4,-y,z+1/4'
'x,y+1/2,z+1/2'
'-x,-y+1/2,-z+1/2'
'-x+1/4,-y+3/4,z+1/2'
'x+1/4,y+3/4,-z+1/2'
'x,-y+3/4,-z+3/4'
'-x,y+3/4,z+3/4'
'-x+1/4,y+1/2,-z+3/4'
'x+1/4,-y+1/2,z+3/4'
'x+1/2,y,z+1/2'
'-x+1/2,-y,-z+1/2'
'-x+3/4,-y+1/4,z+1/2'
'x+3/4,y+1/4,-z+1/2'
'x+1/2,-y+1/4,-z+3/4'
'-x+1/2,y+1/4,z+3/4'
'-x+3/4,y,-z+3/4'
'x+3/4,-y,z+3/4'
'x+1/2,y+1/2,z'
'-x+1/2,-y+1/2,-z'
'-x+3/4,-y+3/4,z'
'x+3/4,y+3/4,-z'
'x+1/2,-y+3/4,-z+1/4'
'-x+1/2,y+3/4,z+1/4'
'-x+3/4,y+1/2,-z+1/4'
'x+3/4,-y+1/2,z+1/4'
loop_
_atom_site_label
_atom_site_type_symbol
_atom_site_fract_x
_atom_site_fract_y
_atom_site_fract_z
H1 H 0.125 0.125 0.276
Pd1 Pd 0.121 0.375 0.875
```

Properties
Crystal system: orthorhombic
Calculated total energy (eV per atom): -4.340
Energy above the lowest structure with this stoichiometry (kJ/mol of atoms): 4.2
Density of states at the Fermi level (states/eV/f.u.): 0.38
ρ (Mg/m³): 9.48
Magnetic moment (μB per formula unit): 0.00



# 5
VASP calculation (GGA-PBE) on crystalline H3Pd4 at its relaxed geometry.

Cell and atoms, written as CIF:
```
data_H3Pd4
_chemical_formula_sum 'H18 Pd24'
_cell_length_a 7.6798
_cell_length_b 7.6798
_cell_length_c 8.4294
_cell_angle_alpha 90.00
_cell_angle_beta 90.00
_cell_angle_gamma 120.00
_symmetry_space_group_name_H-M 'R -3 c'
_symmetry_Int_Tables_number 167
_symmetry_space_group_name_Hall '-R 3 2"c'
loop_
_atom_site_label
_atom_site_type_symbol
_atom_site_fract_x
_atom_site_fract_y
_atom_site_fract_z
H1 H 0.0000 0.2031 0.2500
Pd1 Pd 0.0000 0.0000 0.0000
Pd2 Pd 0.0000 0.2833 0.7500
```

Properties
Crystal system: trigonal
Calculated total energy (eV per atom): -4.416
Energy above the lowest structure with this stoichiometry (kJ/mol of atoms): 7.6
Density of states at the Fermi level (states/eV/f.u.): 2.63
ρ (Mg/m³): 9.92
Magnetic moment (μB per formula unit): 0.00



# 6
VASP calculation (GGA-PBE) on crystalline H3Pd2 at its relaxed geometry.

Cell and atoms, written as CIF:
```
data_H3Pd2
_chemical_formula_sum 'H12 Pd8'
_cell_length_a 4.643
_cell_length_b 7.463
_cell_length_c 4.707
_cell_angle_alpha 90.00
_cell_angle_beta 90.00
_cell_angle_gamma 90.00
_symmetry_space_group_name_H-M 'I m m a'
_symmetry_Int_Tables_number 74
_symmetry_space_group_name_Hall '-I 2b 2'
loop_
_atom_site_label
_atom_site_type_symbol
_atom_site_fract_x
_atom_site_fract_y
_atom_site_fract_z
H1 H 0.000 0.250 0.132
H2 H 0.250 0.100 0.750
Pd1 Pd 0.000 0.000 0.000
Pd2 Pd 0.000 0.250 0.505
```

Properties
Crystal system: orthorhombic
Calculated total energy (eV per atom): -4.089
Energy above the lowest structure with this stoichiometry (kJ/mol of atoms): 1.4
Density of states at the Fermi level (states/eV/f.u.): 1.31
ρ (Mg/m³): 8.79
Magnetic moment (μB per formula unit): 0.00



# 7
VASP calculation (GGA-PBE) on crystalline H4Pd5 at its relaxed geometry.

Cell and atoms, written as CIF:
```
data_H4Pd5
_chemical_formula_sum 'H8 Pd10'
_cell_length_a 6.499
_cell_length_b 6.499
_cell_length_c 4.091
_cell_angle_alpha 90.00
_cell_angle_beta 90.00
_cell_angle_gamma 90.00
_symmetry_space_group_name_H-M 'I 4/m'
_symmetry_Int_Tables_number 87
_symmetry_space_group_name_Hall '-I 4'
loop_
_atom_site_label
_atom_site_type_symbol
_atom_site_fract_x
_atom_site_fract_y
_atom_site_fract_z
H1 H 0.112 0.718 0.000
Pd1 Pd 0.000 0.000 0.000
Pd2 Pd 0.104 0.700 0.500
```

Properties
Crystal system: tetragonal
Calculated total energy (eV per atom): -4.457
Energy above the lowest structure with this stoichiometry (kJ/mol of atoms): 0.0
Density of states at the Fermi level (states/eV/f.u.): 1.53
ρ (Mg/m³): 10.31
Magnetic moment (μB per formula unit): 0.00



# 8
VASP calculation (GGA-PBE) on crystalline H5Pd4 at its relaxed geometry.

Cell and atoms, written as CIF:
```
data_H5Pd4
_chemical_formula_sum 'H10 Pd8'
_cell_length_a 6.518
_cell_length_b 6.518
_cell_length_c 3.896
_cell_angle_alpha 90.00
_cell_angle_beta 90.00
_cell_angle_gamma 90.00
_symmetry_space_group_name_H-M 'I 4/m'
_symmetry_Int_Tables_number 87
_symmetry_space_group_name_Hall '-I 4'
loop_
_atom_site_label
_atom_site_type_symbol
_atom_site_fract_x
_atom_site_fract_y
_atom_site_fract_z
H1 H 0.000 0.000 0.000
H2 H 0.135 0.693 0.500
Pd1 Pd 0.094 0.709 0.000
```

Properties
Crystal system: tetragonal
Calculated total energy (eV per atom): -4.195
Energy above the lowest structure with this stoichiometry (kJ/mol of atoms): 0.0
Density of states at the Fermi level (states/eV/f.u.): 2.73
ρ (Mg/m³): 8.64
Magnetic moment (μB per formula unit): 0.00